A geometry-optimized Cu7Ag3 structure, computed with PBE.

Lattice parameters (Å, degrees): 2.7878 2.7878 17.5426 90.00 90.00 90.00
Closest atoms and distances in Å follow each position.
Positions (direct):
Cu1 0.0000 0.0000 0.0000  8 Cu 2.51-2.79, 4 Ag 2.74
Cu2 0.0000 0.0000 0.1772  12 Cu 2.51-2.79
Cu3 0.0000 0.0000 0.3541  8 Cu 2.51-2.79, 4 Ag 2.74
Cu4 0.0000 0.0000 0.7834  8 Cu 2.50-2.79, 4 Ag 2.74
Cu5 0.5000 0.5000 0.0886  12 Cu 2.51-2.79
Cu6 0.5000 0.5000 0.2658  12 Cu 2.51-2.79
Cu7 0.5000 0.5000 0.6956  8 Cu 2.50-2.79, 4 Ag 2.73
Ag1 0.0000 0.0000 0.5878  4 Cu 2.73, 8 Ag 2.79-2.95
Ag2 0.5000 0.5000 0.4624  4 Cu 2.74, 8 Ag 2.79-2.95
Ag3 0.5000 0.5000 0.8915  8 Cu 2.74, 4 Ag 2.79

The relative energy among the computed polymorphs comes out at 15 meV/atom. The energy relative to the elements comes out at 60 meV/atom. The space group is P4mm. As for the mass density: 9.36 g/cm³.



A geometry-optimized ZrUAu structure, computed with PBE.

Lattice parameters (Å, degrees): 4.7447 4.7447 4.7447 60.00 60.00 60.00
Closest atoms and distances in Å follow each position.
Positions (direct):
Zr1 0.0000 0.0000 0.0000  4 U 2.91
U1 0.7500 0.7500 0.7500  4 Zr 2.91, 4 Au 2.91
Au1 0.5000 0.5000 0.5000  4 U 2.91

The relative energy among the computed polymorphs comes out at 62 meV/atom. The energy relative to the elements comes out at 686 meV/atom. The space group is F-43m. As for the mass density: 11.57 g/cm³.



A geometry-optimized Sm2ScN3 structure, computed with PBE.

Lattice parameters (Å, degrees): 3.4507 3.4507 8.4474 90.00 90.00 120.00
Closest atoms and distances in Å follow each position.
Positions (direct):
Sm1 0.3333 0.6667 0.3237  6 N 2.48-2.49
Sm2 0.6667 0.3333 0.6763  6 N 2.48-2.49
Sc1 0.0000 0.0000 0.0000  6 N 2.35
N1 0.0000 0.0000 0.5000  6 Sm 2.49
N2 0.3333 0.6667 0.8517  3 Sc 2.35, 3 Sm 2.48
N3 0.6667 0.3333 0.1483  3 Sc 2.35, 3 Sm 2.48

The space group is P-3m1. The calculation puts the calculated total energy at -49.98 eV for the cell shown. As for the mass density: 7.39 g/cm³.



A geometry-optimized SmEr2ScIn2 structure, computed with PBE.

Lattice parameters (Å, degrees): 5.2879 5.2879 6.6674 90.00 90.00 120.00
Closest atoms and distances in Å follow each position.
Positions (direct):
Sm1 0.0000 0.0000 0.0000  5 In 3.05-3.33
Er1 0.6667 0.3333 0.2610  2 Er 3.19-3.48, 6 In 3.44-3.51, 3 Sc 3.44, 3 Sm 3.51
Er2 0.6667 0.3333 0.7390  2 Er 3.19-3.48, 6 In 3.44-3.51, 3 Sc 3.44, 3 Sm 3.51
Sc1 0.3333 0.6667 0.5000  5 In 3.05-3.33
In1 0.0000 0.0000 0.5000  3 Sc 3.05, 2 Sm 3.33
In2 0.3333 0.6667 0.0000  3 Sm 3.05, 2 Sc 3.33

The space group is P-6m2. The calculation puts the calculated total energy at -27.70 eV for the cell shown. As for the mass density: 7.81 g/cm³.